# 1
The following is a PBE calculation of crystalline RbNpTl2F8 at its relaxed geometry, from the Alexandria database.

Results
ΔE_f (raw) (meV per atom): -2755
Size of the total moment (μB/cell): 2.00
Total energy (eV per cell): -66.67
Space group: I-4m2
Density (g/cm3): 6.18

Cell and atoms, written as CIF:
```
data_RbNpTl2F8
_cell_length_a 7.554
_cell_length_b 7.554
_cell_length_c 7.554
_cell_angle_alpha 131.43
_cell_angle_beta 131.43
_cell_angle_gamma 71.13
_symmetry_space_group_name_H-M 'P 1'
_symmetry_Int_Tables_number 1
loop_
_symmetry_equiv_pos_as_xyz
'x,y,z'
loop_
_atom_site_label
_atom_site_fract_x
_atom_site_fract_y
_atom_site_fract_z
Rb1 0.000 0.000 0.000
Np1 0.750 0.250 0.500
Tl1 0.250 0.750 0.500
Tl2 0.500 0.500 0.000
F1 0.060 0.149 0.501
F2 0.060 0.559 0.911
F3 0.441 0.352 0.501
F4 0.441 0.940 0.089
F5 0.648 0.149 0.089
F6 0.648 0.559 0.499
F7 0.851 0.352 0.911
F8 0.851 0.940 0.499
```

***

# 2
The following is a PBE calculation of crystalline K6Hg at its relaxed geometry, from the Alexandria database.

Results
Size of the total moment (μB/cell): 0.00
Total energy (eV per cell): -4.85
Space group: Im-3m
Density (g/cm3): 0.91
Formation enthalpy at 0 K (meV per atom): 291

Cell and atoms, written as CIF:
```
data_K6Hg
_cell_length_a 10.109
_cell_length_b 10.109
_cell_length_c 10.109
_cell_angle_alpha 109.47
_cell_angle_beta 109.47
_cell_angle_gamma 109.47
_symmetry_space_group_name_H-M 'P 1'
_symmetry_Int_Tables_number 1
loop_
_symmetry_equiv_pos_as_xyz
'x,y,z'
loop_
_atom_site_label
_atom_site_fract_x
_atom_site_fract_y
_atom_site_fract_z
K1 0.250 0.500 0.750
K2 0.250 0.750 0.500
K3 0.500 0.250 0.750
K4 0.500 0.750 0.250
K5 0.750 0.250 0.500
K6 0.750 0.500 0.250
Hg1 0.000 0.000 0.000
```

***

# 3
The following is a PBE calculation of crystalline TbNd5Th at its relaxed geometry, from the Alexandria database.

Results
Size of the total moment (μB/cell): 0.00
Total energy (eV per cell): -34.35
Space group: C2/m
Density (g/cm3): 7.41
Formation enthalpy at 0 K (meV per atom): 220

Cell and atoms, written as CIF:
```
data_TbNd5Th
_cell_length_a 6.315
_cell_length_b 6.315
_cell_length_c 7.097
_cell_angle_alpha 100.34
_cell_angle_beta 100.34
_cell_angle_gamma 111.68
_symmetry_space_group_name_H-M 'P 1'
_symmetry_Int_Tables_number 1
loop_
_symmetry_equiv_pos_as_xyz
'x,y,z'
loop_
_atom_site_label
_atom_site_fract_x
_atom_site_fract_y
_atom_site_fract_z
Tb1 0.000 0.000 0.000
Nd1 0.019 0.593 0.274
Nd2 0.407 0.981 0.726
Nd3 0.500 0.500 0.000
Nd4 0.593 0.019 0.274
Nd5 0.981 0.407 0.726
Th1 0.500 0.500 0.500
```

***

# 4
The following is a PBE calculation of crystalline Hg2PCl at its relaxed geometry, from the Alexandria database.

Results
ΔE_f (raw) (meV per atom): 195
Size of the total moment (μB/cell): 0.00
Total energy (eV per cell): -7.08
Space group: R3m
Density (g/cm3): 7.43

Cell and atoms, written as CIF:
```
data_Hg2PCl
_cell_length_a 7.019
_cell_length_b 7.019
_cell_length_c 7.019
_cell_angle_alpha 35.56
_cell_angle_beta 35.56
_cell_angle_gamma 35.56
_symmetry_space_group_name_H-M 'P 1'
_symmetry_Int_Tables_number 1
loop_
_symmetry_equiv_pos_as_xyz
'x,y,z'
loop_
_atom_site_label
_atom_site_fract_x
_atom_site_fract_y
_atom_site_fract_z
Hg1 0.000 0.000 0.000
Hg2 0.237 0.237 0.237
P1 0.689 0.689 0.689
Cl1 0.495 0.495 0.495
```

***

# 5
The following is a PBE calculation of crystalline TaCdIr at its relaxed geometry, from the Alexandria database.

Results
Size of the total moment (μB/cell): 0.00
Total energy (eV per cell): -43.95
Space group: P4/mmm
Density (g/cm3): 14.89
Formation enthalpy at 0 K (meV per atom): -116

Cell and atoms, written as CIF:
```
data_TaCdIr
_cell_length_a 3.044
_cell_length_b 3.044
_cell_length_c 11.683
_cell_angle_alpha 90.00
_cell_angle_beta 90.00
_cell_angle_gamma 90.00
_symmetry_space_group_name_H-M 'P 1'
_symmetry_Int_Tables_number 1
loop_
_symmetry_equiv_pos_as_xyz
'x,y,z'
loop_
_atom_site_label
_atom_site_fract_x
_atom_site_fract_y
_atom_site_fract_z
Ta1 0.000 0.000 0.191
Ta2 0.000 0.000 0.809
Cd1 0.000 0.000 0.500
Cd2 0.500 0.500 0.000
Ir1 0.500 0.500 0.323
Ir2 0.500 0.500 0.677
```

***

# 6
The following is a PBE calculation of crystalline RbAlSn at its relaxed geometry, from the Alexandria database.

Results
Size of the total moment (μB/cell): 0.00
Total energy (eV per cell): -17.40
Space group: P1
Density (g/cm3): 2.91
Formation enthalpy at 0 K (meV per atom): 5

Cell and atoms, written as CIF:
```
data_RbAlSn
_cell_length_a 4.523
_cell_length_b 7.083
_cell_length_c 9.315
_cell_angle_alpha 99.90
_cell_angle_beta 103.94
_cell_angle_gamma 108.62
_symmetry_space_group_name_H-M 'P 1'
_symmetry_Int_Tables_number 1
loop_
_symmetry_equiv_pos_as_xyz
'x,y,z'
loop_
_atom_site_label
_atom_site_fract_x
_atom_site_fract_y
_atom_site_fract_z
Rb1 0.000 0.000 0.000
Rb2 0.055 0.653 0.463
Al1 0.123 0.441 0.809
Al2 0.710 0.444 0.977
Sn1 0.375 0.618 0.133
Sn2 0.456 0.263 0.653
```

***

# 7
The following is a PBE calculation of crystalline NbCrSb2I at its relaxed geometry, from the Alexandria database.

Results
ΔE_f (raw) (meV per atom): 740
Size of the total moment (μB/cell): 5.26
Total energy (eV per cell): -25.79
Space group: P4/mmm
Density (g/cm3): 5.20

Cell and atoms, written as CIF:
```
data_NbCrSb2I
_cell_length_a 5.330
_cell_length_b 5.330
_cell_length_c 5.797
_cell_angle_alpha 90.00
_cell_angle_beta 90.00
_cell_angle_gamma 90.00
_symmetry_space_group_name_H-M 'P 1'
_symmetry_Int_Tables_number 1
loop_
_symmetry_equiv_pos_as_xyz
'x,y,z'
loop_
_atom_site_label
_atom_site_fract_x
_atom_site_fract_y
_atom_site_fract_z
Nb1 0.000 0.000 0.000
Cr1 0.500 0.500 0.500
Sb1 0.000 0.500 0.000
Sb2 0.500 0.000 0.000
I1 0.000 0.000 0.500
```

***

# 8
The following is a PBE calculation of crystalline ZrTeS at its relaxed geometry, from the Alexandria database.

Results
ΔE_f (raw) (meV per atom): -1038
Size of the total moment (μB/cell): 0.00
Total energy (eV per cell): -18.93
Space group: Cm
Density (g/cm3): 5.24

Cell and atoms, written as CIF:
```
data_ZrTeS
_cell_length_a 3.371
_cell_length_b 3.371
_cell_length_c 7.171
_cell_angle_alpha 98.65
_cell_angle_beta 98.65
_cell_angle_gamma 85.84
_symmetry_space_group_name_H-M 'P 1'
_symmetry_Int_Tables_number 1
loop_
_symmetry_equiv_pos_as_xyz
'x,y,z'
loop_
_atom_site_label
_atom_site_fract_x
_atom_site_fract_y
_atom_site_fract_z
Zr1 0.000 0.000 0.000
Te1 0.233 0.233 0.681
S1 0.559 0.559 0.171
```

***

# 9
The following is a PBE calculation of crystalline CeNd4Er6 at its relaxed geometry, from the Alexandria database.

Results
Size of the total moment (μB/cell): 0.30
Total energy (eV per cell): -48.96
Space group: I-42m
Density (g/cm3): 7.67
Formation enthalpy at 0 K (meV per atom): 311

Cell and atoms, written as CIF:
```
data_CeNd4Er6
_cell_length_a 9.647
_cell_length_b 9.647
_cell_length_c 9.647
_cell_angle_alpha 139.69
_cell_angle_beta 139.69
_cell_angle_gamma 58.32
_symmetry_space_group_name_H-M 'P 1'
_symmetry_Int_Tables_number 1
loop_
_symmetry_equiv_pos_as_xyz
'x,y,z'
loop_
_atom_site_label
_atom_site_fract_x
_atom_site_fract_y
_atom_site_fract_z
Ce1 0.000 0.000 0.000
Nd1 0.016 0.016 0.381
Nd2 0.365 0.984 0.000
Nd3 0.635 0.635 0.619
Nd4 0.984 0.365 0.000
Er1 0.000 0.500 0.500
Er2 0.194 0.557 0.000
Er3 0.443 0.443 0.637
Er4 0.500 0.000 0.500
Er5 0.557 0.194 0.000
Er6 0.806 0.806 0.363
```

***

# 10
The following is a PBE calculation of crystalline ZrSc2B at its relaxed geometry, from the Alexandria database.

Results
Size of the total moment (μB/cell): 0.00
Total energy (eV per cell): -54.12
Space group: I-42d
Density (g/cm3): 4.13
Formation enthalpy at 0 K (meV per atom): 207

Cell and atoms, written as CIF:
```
data_ZrSc2B
_cell_length_a 6.033
_cell_length_b 6.033
_cell_length_c 6.033
_cell_angle_alpha 100.80
_cell_angle_beta 100.80
_cell_angle_gamma 128.70
_symmetry_space_group_name_H-M 'P 1'
_symmetry_Int_Tables_number 1
loop_
_symmetry_equiv_pos_as_xyz
'x,y,z'
loop_
_atom_site_label
_atom_site_fract_x
_atom_site_fract_y
_atom_site_fract_z
Zr1 0.000 0.000 0.000
Zr2 0.750 0.250 0.500
Sc1 0.207 0.125 0.582
Sc2 0.375 0.793 0.918
Sc3 0.543 0.625 0.418
Sc4 0.875 0.457 0.082
B1 0.250 0.750 0.500
B2 0.500 0.500 0.000
```

***

# 11
The following is a PBE calculation of crystalline BRuF3 at its relaxed geometry, from the Alexandria database.

Results
ΔE_f (raw) (meV per atom): -31
Size of the total moment (μB/cell): 3.01
Total energy (eV per cell): -21.72
Space group: Pm-3m
Density (g/cm3): 4.91

Cell and atoms, written as CIF:
```
data_BRuF3
_cell_length_a 3.851
_cell_length_b 3.851
_cell_length_c 3.851
_cell_angle_alpha 90.00
_cell_angle_beta 90.00
_cell_angle_gamma 90.00
_symmetry_space_group_name_H-M 'P 1'
_symmetry_Int_Tables_number 1
loop_
_symmetry_equiv_pos_as_xyz
'x,y,z'
loop_
_atom_site_label
_atom_site_fract_x
_atom_site_fract_y
_atom_site_fract_z
B1 0.000 0.000 0.000
Ru1 0.500 0.500 0.500
F1 0.000 0.000 0.500
F2 0.000 0.500 0.000
F3 0.500 0.000 0.000
```

***

# 12
The following is a PBE calculation of crystalline CaSc2Ru at its relaxed geometry, from the Alexandria database.

Results
Size of the total moment (μB/cell): 0.00
Total energy (eV per cell): -47.27
Space group: I-42d
Density (g/cm3): 3.76
Formation enthalpy at 0 K (meV per atom): 77

Cell and atoms, written as CIF:
```
data_CaSc2Ru
_cell_length_a 6.521
_cell_length_b 6.521
_cell_length_c 6.521
_cell_angle_alpha 103.02
_cell_angle_beta 103.02
_cell_angle_gamma 123.32
_symmetry_space_group_name_H-M 'P 1'
_symmetry_Int_Tables_number 1
loop_
_symmetry_equiv_pos_as_xyz
'x,y,z'
loop_
_atom_site_label
_atom_site_fract_x
_atom_site_fract_y
_atom_site_fract_z
Ca1 0.000 0.000 0.000
Ca2 0.750 0.250 0.500
Sc1 0.214 0.625 0.089
Sc2 0.375 0.464 0.589
Sc3 0.536 0.125 0.911
Sc4 0.875 0.786 0.411
Ru1 0.250 0.750 0.500
Ru2 0.500 0.500 0.000
```